Here is Na2NpAlF8 after structural relaxation from Alexandria via LeMat-Bulk. Energies are from GGA-PBE.

The value obtained for the energy relative to the elements, uncorrected is -311 kJ/mol of atoms. The value obtained for the density of states at the Fermi level is 4.9 states/eV/cell.

The space group is P2/m (No. 10) and the conventional cell measures 4.921, 6.810 and 5.171 Å, with angles of 90.00, 90.42 and 90.00 degrees. The inequivalent atoms are Na at (0.000, 0.222, 0.000), Np at (0.500, 0.500, 0.500), Al at (0.500, 0.000, 0.500), F at (0.170, 0.500, 0.206), F at (0.240, 0.000, 0.256) and F at (0.324, 0.203, 0.678).


Here is Cs2PH6 after structural relaxation from Alexandria via LeMat-Bulk. Energies are from GGA-PBE.

The total energy is -3.065 eV/atom. The value obtained for the density of states at the Fermi level is 1.5 states/eV/cell.

The space group is P-3m1 (No. 164) and the conventional cell measures 5.9718, 5.9718 and 5.6874 Å, with angles of 90.00, 90.00 and 120.00 degrees. The inequivalent atoms are Cs at (0.3333, 0.6667, 0.2413), P at (0.0000, 0.0000, 0.0000) and H at (0.1226, 0.2451, 0.8435).


Here is Dy3Th2Sc2 after structural relaxation from Alexandria via LeMat-Bulk. Energies are from GGA-PBE.

Its energy of formation is 0.3 eV per formula unit. The value obtained for the density of states at the Fermi level is 10.8 states/eV/cell.

The space group is P-1 (No. 2) and the conventional cell measures 5.958, 6.039 and 6.061 Å, with angles of 99.81, 98.97 and 100.12 degrees. The inequivalent atoms are Dy at (0.000, 0.000, 0.000), Dy at (0.289, 0.578, 0.146), Th at (0.140, 0.286, 0.565) and Sc at (0.425, 0.859, 0.708).


Here is CaSmN after structural relaxation from Alexandria via LeMat-Bulk. Energies are from GGA-PBE.

The value obtained for the energy relative to the elements, uncorrected is -80 kJ/mol of atoms. The value obtained for the density of states at the Fermi level is 2.0 states/eV/cell.

The space group is P3m1 (No. 156) and the conventional cell measures 3.6326, 3.6326 and 6.1920 Å, with angles of 90.00, 90.00 and 120.00 degrees. The inequivalent atoms are Ca at (0.0000, 0.0000, 0.0000), Sm at (0.6667, 0.3333, 0.5579) and N at (0.3333, 0.6667, 0.7432).